Record 1
# PBE TaTlP2, relaxed
data_TaTlP2
_chemical_formula_sum 'Ta1 Tl1 P2'
_space_group_name_H-M_alt 'P 1'
_space_group_IT_number 1
_space_group_name_Hall 'P 1'
_cell_length_a 4.673
_cell_length_b 4.673
_cell_length_c 4.673
_cell_angle_alpha 60.00
_cell_angle_beta 60.00
_cell_angle_gamma 60.00
loop_
_atom_site_label
_atom_site_type_symbol
_atom_site_fract_x
_atom_site_fract_y
_atom_site_fract_z
Ta1 Ta 0.000 0.000 0.000
Tl1 Tl 0.500 0.500 0.500
P1 P 0.250 0.250 0.250
P2 P 0.750 0.750 0.750
# - Space-group type: No. 225
# - Fermi-level density of states: 4.3 states/eV per cell
# - V: 18.043 Å³ per atom
# - Total energy: -5.7587 eV/atom


Record 2
# PBE Sc3BS, relaxed
data_Sc3BS
_chemical_formula_sum 'Sc3 B1 S1'
_space_group_name_H-M_alt 'P 1'
_space_group_IT_number 1
_space_group_name_Hall 'P 1'
_cell_length_a 4.563
_cell_length_b 4.563
_cell_length_c 4.563
_cell_angle_alpha 90.00
_cell_angle_beta 90.00
_cell_angle_gamma 90.00
loop_
_atom_site_label
_atom_site_type_symbol
_atom_site_fract_x
_atom_site_fract_y
_atom_site_fract_z
Sc1 Sc 0.000 0.000 0.500
Sc2 Sc 0.000 0.500 0.000
Sc3 Sc 0.500 0.000 0.000
B1 B 0.000 0.000 0.000
S1 S 0.500 0.500 0.500
# - Space-group type: No. 221
# - Fermi-level density of states: 4.4 states/eV per cell
# - V: 19.000 Å³ per atom
# - E_form (uncorrected): -0.44 eV per atom